No. 1
Dy4CoRh after structural relaxation, computed with PBE-GGA.

Offset from the most stable computed form (eV per atom): 0.000
Symmetry: C2/c, No. 15
ΔH_f (0 K) (eV/atom): -0.3963

Cell and atoms, written as POSCAR:
```
Dy4CoRh
1.0
4.375 -6.562 0.000
4.375 6.562 0.000
-3.487 0.000 5.078
Dy Co Rh
8 2 2
Cartesian
0.103 4.211 4.552
0.049 0.805 3.687
3.418 4.211 3.065
1.792 -0.805 1.148
3.472 0.805 3.930
1.847 -4.211 2.013
5.216 -0.805 1.391
5.161 -4.211 0.526
3.504 6.530 1.269
1.761 -6.530 3.808
3.504 1.821 1.269
1.761 -1.821 3.808
```

=====

No. 2
Ce2PaBi after structural relaxation, computed with PBE-GGA.

Offset from the most stable computed form (eV per atom): 0.218
Symmetry: Fm-3m, No. 225
ΔH_f (0 K) (eV/atom): -0.0187

Cell and atoms, written as POSCAR:
```
Ce2PaBi
1.0
0.000 3.834 3.834
3.834 0.000 3.834
3.834 3.834 0.000
Ce Pa Bi
2 1 1
Cartesian
1.917 1.917 1.917
5.750 5.750 5.750
0.000 0.000 0.000
3.834 3.834 3.834
```

=====

No. 3
Zn6Pt2Rh after structural relaxation, computed with PBE-GGA.

Offset from the most stable computed form (eV per atom): 0.000
Symmetry: C2/m, No. 12
ΔH_f (0 K) (eV/atom): -0.3964

Cell and atoms, written as POSCAR:
```
Zn6Pt2Rh
1.0
4.075 -1.996 0.000
4.075 1.996 0.000
-1.725 0.000 8.031
Zn Pt Rh
6 2 1
Cartesian
-0.521 0.000 2.573
1.960 0.000 3.521
2.570 0.000 0.797
3.855 0.000 7.234
4.465 0.000 4.510
6.946 0.000 5.458
1.297 0.000 6.135
5.128 0.000 1.896
0.000 0.000 0.000
```

=====

No. 4
Mg2Br after structural relaxation, computed with PBE-GGA.

Offset from the most stable computed form (eV per atom): 0.049
Symmetry: C2/m, No. 12

Cell and atoms, written as POSCAR:
```
Mg2Br
1.0
5.796 -1.787 0.000
5.796 1.787 0.000
-2.412 0.000 9.413
Mg Br
4 2
Cartesian
-0.420 0.000 3.300
2.622 0.000 3.840
6.558 0.000 5.573
9.600 0.000 6.113
4.300 0.000 1.624
4.880 0.000 7.789
```

=====

No. 5
NaHoCd5 after structural relaxation, computed with PBE-GGA.

Symmetry: Cmmm, No. 65
ΔH_f (0 K) (eV/atom): -0.0656

Cell and atoms, written as POSCAR:
```
NaHoCd5
1.0
3.152 -4.462 0.000
3.152 4.462 0.000
0.000 0.000 6.502
Na Ho Cd
1 1 5
Cartesian
0.000 0.000 0.000
3.152 0.000 3.251
1.576 2.231 1.670
1.576 2.231 4.832
1.576 -2.231 1.670
1.576 -2.231 4.832
3.152 0.000 0.000
```

=====

No. 6
PrTmH8Ir2 after structural relaxation, computed with PBE-GGA.

Symmetry: R-3, No. 148
Total DFT energy (no corrections) (Ry/atom): -0.3499

Cell and atoms, written as POSCAR:
```
PrTmH8Ir2
1.0
2.430 1.403 6.133
-2.430 1.403 6.133
0.000 -2.806 6.133
Pr Tm H Ir
1 1 8 2
Cartesian
0.000 0.000 0.000
0.000 0.000 9.199
-0.801 -1.772 8.087
-1.935 -0.192 10.312
0.000 0.000 5.921
-1.134 1.580 8.087
1.134 -1.580 10.312
0.000 0.000 12.478
1.935 0.192 8.087
0.801 1.772 10.312
0.000 0.000 4.310
0.000 0.000 14.089
```

=====

No. 7
Pm2UWN6 after structural relaxation, computed with PBE-GGA.

Symmetry: P4mm, No. 99
Total DFT energy (no corrections) (Ry/atom): -0.6942

Cell and atoms, written as POSCAR:
```
Pm2UWN6
1.0
5.711 0.000 0.000
0.000 5.711 0.000
0.000 0.000 4.495
Pm U W N
2 1 1 6
Cartesian
0.000 2.855 0.000
2.855 0.000 0.000
0.000 0.000 2.652
2.855 2.855 2.501
0.000 0.000 0.514
1.484 1.484 3.022
1.484 4.226 3.022
2.855 2.855 0.690
4.226 1.484 3.022
4.226 4.226 3.022
```

=====

No. 8
K4RbCd2 after structural relaxation, computed with PBE-GGA.

Offset from the most stable computed form (eV per atom): 0.000
Symmetry: Cmmm, No. 65
ΔH_f (0 K) (eV/atom): 0.0142

Cell and atoms, written as POSCAR:
```
K4RbCd2
1.0
2.947 -11.099 0.000
2.947 11.099 0.000
0.000 0.000 6.001
K Rb Cd
4 1 2
Cartesian
2.947 7.425 0.000
2.947 3.726 3.001
2.947 -3.726 3.001
2.947 -7.425 0.000
2.947 0.000 0.000
2.947 9.658 3.001
2.947 -9.658 3.001
```

=====

No. 9
PuNb2C after structural relaxation, computed with PBE-GGA.

Symmetry: R-3m, No. 166
ΔH_f (0 K) (eV/atom): -0.1384

Cell and atoms, written as POSCAR:
```
PuNb2C
1.0
1.580 0.912 7.952
-1.580 0.912 7.952
0.000 -1.825 7.952
Pu Nb C
1 2 1
Cartesian
0.000 0.000 0.000
0.000 0.000 5.210
0.000 0.000 18.646
0.000 0.000 11.928
```

=====

No. 10
Ba2Sn2Au after structural relaxation, computed with PBE-GGA.

Offset from the most stable computed form (eV per atom): 0.162
Symmetry: P4/mbm, No. 127
ΔH_f (0 K) (eV/atom): -0.5201

Cell and atoms, written as POSCAR:
```
Ba2Sn2Au
1.0
7.822 0.000 0.000
0.000 7.822 0.000
0.000 0.000 5.480
Ba Sn Au
4 4 2
Cartesian
1.278 2.633 0.000
2.633 6.544 0.000
5.189 1.278 0.000
6.544 5.189 0.000
1.110 5.021 2.740
2.801 1.110 2.740
5.021 6.712 2.740
6.712 2.801 2.740
0.000 0.000 2.740
3.911 3.911 2.740
```

=====

No. 11
AlTeP after structural relaxation, computed with PBE-GGA.

Offset from the most stable computed form (eV per atom): 0.674
Symmetry: F-43m, No. 216

Cell and atoms, written as POSCAR:
```
AlTeP
1.0
0.000 3.339 3.339
3.339 0.000 3.339
3.339 3.339 0.000
Al Te P
1 1 1
Cartesian
0.000 0.000 0.000
1.670 1.670 1.670
3.339 3.339 3.339
```

=====

No. 12
Tb3TmGa2 after structural relaxation, computed with PBE-GGA.

Offset from the most stable computed form (eV per atom): 0.000
Symmetry: Pmc2_1, No. 26
ΔH_f (0 K) (eV/atom): -0.4255

Cell and atoms, written as POSCAR:
```
Tb3TmGa2
1.0
4.976 0.000 0.000
0.000 9.454 0.000
0.000 0.000 6.526
Tb Tm Ga
6 2 4
Cartesian
0.000 0.438 0.000
0.000 3.085 2.290
0.000 6.369 5.553
0.000 9.016 3.263
2.488 1.706 4.628
2.488 7.748 1.365
2.488 4.264 0.388
2.488 5.190 3.651
0.000 3.368 5.380
0.000 6.086 2.117
2.488 1.359 1.551
2.488 8.095 4.814
```